<P>
Li2La2Sc: optimized geometry, PBE-GGA.

The structure in CIF format:
```
data_Li2La2Sc
_chemical_formula_sum 'Li4 La4 Sc2'
_cell_length_a 8.617
_cell_length_b 8.617
_cell_length_c 3.766
_cell_angle_alpha 90.00
_cell_angle_beta 90.00
_cell_angle_gamma 90.00
_symmetry_space_group_name_H-M 'P 4/m b m'
_symmetry_Int_Tables_number 127
_symmetry_space_group_name_Hall '-P 4 2ab'
loop_
_atom_site_label
_atom_site_fract_x
_atom_site_fract_y
_atom_site_fract_z
_atom_site_occupancy
Li1 0.103 0.397 0.000 1
La1 0.203 0.703 0.500 1
Sc1 0.000 0.000 0.000 1
```

=====

<Q>
Li2La2Sc: optimized geometry, PBE-GGA.

The structure in CIF format:
```
data_Li2La2Sc
_chemical_formula_sum 'Li4 La4 Sc2'
_cell_length_a 3.726
_cell_length_b 3.726
_cell_length_c 20.804
_cell_angle_alpha 90.00
_cell_angle_beta 90.00
_cell_angle_gamma 90.00
_symmetry_space_group_name_H-M 'I 4/m m m'
_symmetry_Int_Tables_number 139
_symmetry_space_group_name_Hall '-I 4 2'
loop_
_atom_site_label
_atom_site_fract_x
_atom_site_fract_y
_atom_site_fract_z
_atom_site_occupancy
Li1 0.000 0.500 0.250 1
La1 0.000 0.000 0.107 1
Sc1 0.000 0.000 0.500 1
```

=====

Most stable pick: <Q>. Distance to second place: 0.017 eV/atom.